! PBE+U InNiAs2O8, optimized geometry; values from VASP
&SYSTEM
  ibrav = 0, nat = 12, ntyp = 4
/
ATOMIC_SPECIES
O 16.00 O.upf
As 74.92 As.upf
In 114.82 In.upf
Ni 58.69 Ni.upf
ATOMIC_POSITIONS crystal
O 0.333 0.667 0.380
O 0.161 0.322 0.746
O 0.161 0.839 0.746
O 0.839 0.161 0.254
O 0.678 0.839 0.746
O 0.667 0.333 0.620
O 0.839 0.678 0.254
O 0.322 0.161 0.254
As 0.667 0.333 0.338
As 0.333 0.667 0.662
In 0.000 0.000 0.000
Ni 0.000 0.000 0.500
CELL_PARAMETERS angstrom
5.558 0.000 0.000
-2.779 4.814 0.000
0.000 0.000 5.992
! E_tot, eV per cell: -66.378
! SG: P-3m1
! Spin magnetization, Bohr magnetons per cell: 3.03